! Sr2TlIn3Pd4 (PBE, relaxed); values from VASP
! - theoretical density (Mg/m³) = 7.81
! - SG = P-4m2 (115)
! - ΔH_f (0 K) (meV per atom) = -559
&SYSTEM
  ibrav = 0, nat = 10, ntyp = 4
/
ATOMIC_SPECIES
Sr 87.62 Sr.upf
Tl 204.38 Tl.upf
In 114.82 In.upf
Pd 106.42 Pd.upf
CELL_PARAMETERS angstrom
4.740 0.000 0.000
0.000 4.740 0.000
0.000 0.000 10.877
ATOMIC_POSITIONS crystal
Sr 0.000 0.500 0.236
Sr 0.500 0.000 0.764
Tl 0.000 0.000 0.500
In 0.000 0.500 0.881
In 0.500 0.000 0.119
In 0.500 0.500 0.500
Pd 0.000 0.000 0.000
Pd 0.000 0.500 0.636
Pd 0.500 0.000 0.364
Pd 0.500 0.500 0.000

! NiAgSe2 (PBE, relaxed); values from VASP
! - raw formation energy (eV per atom) = -0.14
! - theoretical density (Mg/m³) = 6.92
! - SG = Pm (6)
&SYSTEM
  ibrav = 0, nat = 8, ntyp = 3
/
ATOMIC_SPECIES
Ni 58.69 Ni.upf
Ag 107.87 Ag.upf
Se 78.96 Se.upf
CELL_PARAMETERS angstrom
6.744 0.000 0.000
0.000 3.581 0.000
-2.432 0.000 6.451
ATOMIC_POSITIONS crystal
Ni 0.000 0.000 0.000
Ni 0.494 0.500 0.998
Ag 0.178 0.000 0.431
Ag 0.801 0.000 0.570
Se 0.109 0.500 0.836
Se 0.471 0.000 0.225
Se 0.512 0.000 0.770
Se 0.881 0.500 0.158

! SbPbCl2 (PBE, relaxed); values from VASP
! - raw formation energy (eV per atom) = -0.38
! - theoretical density (Mg/m³) = 6.39
! - SG = Cmmm (65)
&SYSTEM
  ibrav = 0, nat = 4, ntyp = 3
/
ATOMIC_SPECIES
Sb 121.76 Sb.upf
Pb 207.20 Pb.upf
Cl 35.45 Cl.upf
CELL_PARAMETERS angstrom
1.740 -3.044 0.000
1.740 3.044 0.000
0.000 0.000 9.811
ATOMIC_POSITIONS crystal
Sb 0.000 0.000 0.000
Pb 0.000 0.000 0.500
Cl 0.500 0.500 0.239
Cl 0.500 0.500 0.761

! ScVRu (PBE, relaxed); values from VASP
! - theoretical density (Mg/m³) = 6.83
! - SG = I4mm (107)
! - ΔH_f (0 K) (meV per atom) = -279
&SYSTEM
  ibrav = 0, nat = 3, ntyp = 3
/
ATOMIC_SPECIES
Sc 44.96 Sc.upf
V 50.94 V.upf
Ru 101.07 Ru.upf
CELL_PARAMETERS angstrom
-1.544 1.544 5.018
1.544 -1.544 5.018
1.544 1.544 -5.018
ATOMIC_POSITIONS crystal
Sc 0.000 0.000 0.000
V 0.688 0.688 0.000
Ru 0.320 0.320 0.000

! Tb2ZrIn3 (PBE, relaxed); values from VASP
! - theoretical density (Mg/m³) = 8.32
! - SG = Cmmm (65)
! - ΔH_f (0 K) (meV per atom) = -374
&SYSTEM
  ibrav = 0, nat = 6, ntyp = 3
/
ATOMIC_SPECIES
Tb 158.93 Tb.upf
Zr 91.22 Zr.upf
In 114.82 In.upf
CELL_PARAMETERS angstrom
2.397 -7.167 0.000
2.397 7.167 0.000
0.000 0.000 4.377
ATOMIC_POSITIONS crystal
Tb 0.166 0.834 0.000
Tb 0.834 0.166 0.000
Zr 0.500 0.500 0.000
In 0.000 0.000 0.500
In 0.341 0.659 0.500
In 0.659 0.341 0.500

! LiSnN2 (PBE, relaxed); values from VASP
! - raw formation energy (eV per atom) = 1.08
! - theoretical density (Mg/m³) = 3.93
! - SG = R-3m (166)
&SYSTEM
  ibrav = 0, nat = 4, ntyp = 3
/
ATOMIC_SPECIES
Li 6.94 Li.upf
Sn 118.71 Sn.upf
N 14.01 N.upf
CELL_PARAMETERS angstrom
1.775 1.025 5.947
-1.775 1.025 5.947
0.000 -2.049 5.947
ATOMIC_POSITIONS crystal
Li 0.000 0.000 0.000
Sn 0.500 0.500 0.500
N 0.392 0.392 0.392
N 0.608 0.608 0.608